1.
Below is a relaxed CoCuSCl2 crystal, with properties calculated at the GGA-PBE level.

size of the total moment: 1.117 Bohr magnetons per cell
E: -3.57 eV per atom
Fermi-level density of states: 3.3 states/eV/cell

abc: 4.7661 4.7661 4.2362
angles: 90.00 90.00 90.00
Positions (direct):
Cl1 0.0000 0.5000 0.0000
Co1 0.0000 0.0000 0.0000
Cl2 0.5000 0.0000 0.0000
S1 0.0000 0.0000 0.5000
Cu1 0.5000 0.5000 0.5000

2.
Below is a relaxed SiTe3 crystal, with properties calculated at the GGA-PBE level.

size of the total moment: 0.000 Bohr magnetons per cell
E: -3.46 eV per atom
Fermi-level density of states: 4.7 states/eV/cell

abc: 4.2364 6.1126 8.6267
angles: 90.00 90.00 90.00
Positions (direct):
Si1 0.0000 0.0000 0.6289
Te1 0.0000 0.7453 0.1311
Te2 0.5000 0.0000 0.4194
Te3 0.0000 0.5000 0.5806
Te4 0.5000 0.2453 0.8689
Te5 0.0000 0.2547 0.1311
Si2 0.5000 0.5000 0.3711
Te6 0.5000 0.7547 0.8689

3.
Below is a relaxed PaTcP2Ir2 crystal, with properties calculated at the GGA-PBE level.

size of the total moment: 0.000 Bohr magnetons per cell
E: -8.74 eV per atom
Fermi-level density of states: 7.4 states/eV/cell
ΔE_f: -0.6768 eV per atom

abc: 3.8794 7.5427 6.7196
angles: 90.00 90.00 90.00
Positions (direct):
Pa1 0.0000 0.9826 0.3639
Ir1 0.5000 0.6122 0.9302
Tc1 0.5000 0.6053 0.3393
Ir2 0.5000 0.1122 0.0698
Ir3 0.0000 0.8788 0.8651
Tc2 0.5000 0.1053 0.6607
P1 0.0000 0.1831 0.8560
P2 0.0000 0.6831 0.1440
P3 0.5000 0.2837 0.3691
P4 0.5000 0.7837 0.6309
Ir4 0.0000 0.3788 0.1349
Pa2 0.0000 0.4826 0.6361

4.
Below is a relaxed Al3InIr crystal, with properties calculated at the GGA-PBE level.

size of the total moment: 0.000 Bohr magnetons per cell
E: -4.73 eV per atom
Fermi-level density of states: 2.9 states/eV/cell
ΔE_f: -0.1653 eV per atom

abc: 4.8093 4.8093 4.8093
angles: 90.00 90.00 90.00
Positions (direct):
In1 0.5000 0.5000 0.5000
Ir1 0.0000 0.0000 0.0000
Al1 0.0000 0.5000 0.0000
Al2 0.0000 0.0000 0.5000
Al3 0.5000 0.0000 0.0000